(1)
FeRhBr2 | SCAN | PBEsol geometry

Cell and atoms, written as extended XYZ:
```
4
Lattice="3.134 0.000 0.000 -1.567 2.940 0.000 0.000 0.000 7.957" Properties=species:S:1:pos:R:3 pbc="T T T"
Fe 1.567 0.000 3.979
Rh 1.567 0.000 0.000
Br 0.000 0.000 2.054
Br 0.000 0.000 5.903
```

As for the volume: 73.3 Å³ per cell. The calculation puts the density of states at the Fermi level at 1.4 states/eV/cell. As for the space group: Cmmm (65). The value obtained for the total energy is -22.27 eV/atom. The calculation puts the raw formation energy at 439 meV/atom. The calculation puts the total magnetization at 0.483 μB per atom.

---

(2)
ZnFe2RhBr | SCAN | PBEsol geometry

Cell and atoms, written as extended XYZ:
```
5
Lattice="4.633 0.000 0.000 0.000 4.633 0.000 0.000 0.000 4.739" Properties=species:S:1:pos:R:3 pbc="T T T"
Fe 2.316 0.000 0.000
Fe 0.000 2.316 0.000
Zn 0.000 0.000 2.370
Rh 0.000 0.000 0.000
Br 2.316 2.316 2.370
```

As for the volume: 101.7 Å³ per cell. The calculation puts the density of states at the Fermi level at 4.8 states/eV/cell. As for the space group: P4/mmm (123). The value obtained for the total energy is -19.95 eV/atom. The calculation puts the raw formation energy at 655 meV/atom. The calculation puts the total magnetization at 1.537 μB per atom.